## Na10SrLi2 (PBE)

Data for a relaxed Na10SrLi2 crystal.

Cell lengths 11.861, 9.102, 8.922 Å; angles 82.30, 49.50, 48.19 degrees
Sites, in units of the cell vectors:
Na (0.000, 0.500, 0.000)
Na (0.008, 0.789, 0.211)
Na (0.152, 0.513, 0.487)
Na (0.211, 0.992, 0.008)
Na (0.487, 0.848, 0.152)
Na (0.500, 0.000, 0.500)
Na (0.513, 0.152, 0.848)
Na (0.789, 0.008, 0.992)
Na (0.848, 0.487, 0.513)
Na (0.992, 0.211, 0.789)
Sr (0.500, 0.500, 0.500)
Li (0.000, 0.000, 0.500)
Li (0.500, 0.500, 0.000)

Results
magnetic moment = 0.000 μB/atom
E_tot = -1.41 eV/atom
SG = Fmmm, No. 69


## Na2Sr2Li (PBE)

Data for a relaxed Na2Sr2Li crystal.

Cell lengths 11.161, 11.161, 11.161 Å; angles 157.02, 157.02, 32.72 degrees
Sites, in units of the cell vectors:
Na (0.250, 0.750, 0.500)
Na (0.750, 0.250, 0.500)
Sr (0.094, 0.094, 0.000)
Sr (0.906, 0.906, 0.000)
Li (0.500, 0.500, 0.000)

Results
magnetic moment = 0.000 μB/atom
E_tot = -1.46 eV/atom
SG = I4/mmm, No. 139


## Na4SrLi2 (PBE)

Data for a relaxed Na4SrLi2 crystal.

Cell lengths 11.349, 11.349, 3.921 Å; angles 90.00, 90.00, 150.70 degrees
Sites, in units of the cell vectors:
Na (0.158, 0.842, 0.000)
Na (0.306, 0.694, 0.500)
Na (0.694, 0.306, 0.500)
Na (0.842, 0.158, 0.000)
Sr (0.000, 0.000, 0.500)
Li (0.432, 0.568, 0.000)
Li (0.568, 0.432, 0.000)

Results
magnetic moment = 0.000 μB/atom
E_tot = -1.49 eV/atom
SG = Cmmm, No. 65


## NaSr2Li (PBE)

Data for a relaxed NaSr2Li crystal.

Cell lengths 8.227, 8.227, 8.227 Å; angles 152.30, 131.09, 57.13 degrees
Sites, in units of the cell vectors:
Na (0.000, 0.000, 0.000)
Sr (0.262, 0.262, 0.000)
Sr (0.738, 0.738, 0.000)
Li (0.500, 0.500, 0.000)

Results
magnetic moment = 0.000 μB/atom
E_tot = -1.36 eV/atom
SG = Immm, No. 71


## NaSr8Li2 (PBE)

Data for a relaxed NaSr8Li2 crystal.

Cell lengths 9.544, 9.544, 6.744 Å; angles 99.68, 99.68, 113.58 degrees
Sites, in units of the cell vectors:
Na (0.000, 0.000, 0.000)
Sr (0.076, 0.329, 0.591)
Sr (0.238, 0.762, 0.000)
Sr (0.329, 0.076, 0.591)
Sr (0.386, 0.386, 0.187)
Sr (0.614, 0.614, 0.813)
Sr (0.671, 0.924, 0.409)
Sr (0.762, 0.238, 0.000)
Sr (0.924, 0.671, 0.409)
Li (0.314, 0.686, 0.500)
Li (0.686, 0.314, 0.500)

Results
magnetic moment = 0.000 μB/atom
E_tot = -1.62 eV/atom
SG = C2/m, No. 12


## NaSr6Li5 (PBE)

Data for a relaxed NaSr6Li5 crystal.

Cell lengths 10.436, 10.436, 6.022 Å; angles 106.51, 106.51, 49.00 degrees
Sites, in units of the cell vectors:
Na (0.000, 0.000, 0.000)
Sr (0.085, 0.576, 0.830)
Sr (0.259, 0.741, 0.500)
Sr (0.424, 0.915, 0.170)
Sr (0.576, 0.085, 0.830)
Sr (0.741, 0.259, 0.500)
Sr (0.915, 0.424, 0.170)
Li (0.165, 0.165, 0.665)
Li (0.333, 0.333, 0.332)
Li (0.500, 0.500, 0.000)
Li (0.667, 0.667, 0.668)
Li (0.835, 0.835, 0.335)

Results
magnetic moment = 0.000 μB/atom
E_tot = -1.72 eV/atom
SG = C2/m, No. 12


## Na2Sr3Li3 (PBE)

Data for a relaxed Na2Sr3Li3 crystal.

Cell lengths 7.169, 7.169, 15.542 Å; angles 90.00, 90.00, 130.18 degrees
Sites, in units of the cell vectors:
Na (0.161, 0.839, 0.654)
Na (0.161, 0.839, 0.846)
Na (0.839, 0.161, 0.154)
Na (0.839, 0.161, 0.346)
Sr (0.352, 0.648, 0.024)
Sr (0.352, 0.648, 0.476)
Sr (0.455, 0.545, 0.750)
Sr (0.545, 0.455, 0.250)
Sr (0.648, 0.352, 0.524)
Sr (0.648, 0.352, 0.976)
Li (0.070, 0.930, 0.086)
Li (0.070, 0.930, 0.414)
Li (0.231, 0.769, 0.250)
Li (0.769, 0.231, 0.750)
Li (0.930, 0.070, 0.586)
Li (0.930, 0.070, 0.914)

Results
magnetic moment = 0.000 μB/atom
E_tot = -1.60 eV/atom
SG = Cmcm, No. 63


## Na2Sr2Li (PBE)

Data for a relaxed Na2Sr2Li crystal.

Cell lengths 7.403, 7.403, 8.912 Å; angles 105.07, 105.07, 61.05 degrees
Sites, in units of the cell vectors:
Na (0.007, 0.779, 0.531)
Na (0.221, 0.993, 0.969)
Na (0.779, 0.007, 0.031)
Na (0.993, 0.221, 0.469)
Sr (0.241, 0.442, 0.857)
Sr (0.442, 0.241, 0.357)
Sr (0.558, 0.759, 0.643)
Sr (0.759, 0.558, 0.143)
Li (0.229, 0.771, 0.250)
Li (0.771, 0.229, 0.750)

Results
magnetic moment = 0.000 μB/atom
E_tot = -1.55 eV/atom
SG = C2/c, No. 15